The following is a PBE calculation of an optimized crystal structure of Er3SnB2Rh9, from Alexandria via LeMat-Bulk.

Geometry as POSCAR:
```
Er3SnB2Rh9
1.0
5.831 0.000 0.000
-2.915 5.050 0.000
0.000 0.000 8.884
Er Sn B Rh
3 1 2 9
Direct
0.000 0.000 0.000
0.333 0.667 0.705
0.667 0.333 0.295
0.000 0.000 0.500
0.333 0.667 0.145
0.667 0.333 0.855
0.000 0.500 0.000
0.161 0.323 0.265
0.161 0.839 0.265
0.323 0.161 0.735
0.500 0.000 0.000
0.500 0.500 0.000
0.677 0.839 0.265
0.839 0.161 0.735
0.839 0.677 0.735
```

Output
Its formation energy is -0.60 eV per atom. The calculation puts the density of states at the Fermi level at 15.98 states/eV/cell.

The following is a PBE calculation of an optimized crystal structure of Ce4PO3, from Alexandria via LeMat-Bulk.

Geometry as POSCAR:
```
Ce4PO3
1.0
3.611 0.000 0.000
-1.806 3.127 0.000
0.000 0.000 12.462
Ce P O
4 1 3
Direct
0.333 0.667 0.351
0.333 0.667 0.883
0.667 0.333 0.117
0.667 0.333 0.649
0.000 0.000 0.500
0.000 0.000 0.000
0.000 0.000 0.232
0.000 0.000 0.768
```

Output
The uncorrected formation energy comes out at -2.352 eV/atom. The calculation puts the density of states at the Fermi level at 12.95 states/eV/cell.

The following is a PBE calculation of an optimized crystal structure of Zr2SbTe, from Alexandria via LeMat-Bulk.

Geometry as POSCAR:
```
Zr2SbTe
1.0
0.000 3.613 3.613
3.613 0.000 3.613
3.613 3.613 0.000
Zr Sb Te
2 1 1
Direct
0.000 0.000 0.000
0.250 0.250 0.250
0.500 0.500 0.500
0.750 0.750 0.750
```

Output
The uncorrected formation energy comes out at -0.041 eV/atom. The calculation puts the density of states at the Fermi level at 3.88 states/eV/cell.